InPtCl2O | Alexandria via LeMat-Bulk | PBE | optimized geometry; volume = 96.11 Å³/cell; crystal system = tetragonal; spin magnetization = 0.00 μB/atom; ρ = 6.86 g cm⁻³; energy relative to the elements, uncorrected = 0.506 eV/atom
1.0
4.798 0.000 0.000
0.000 4.798 0.000
0.000 0.000 4.175
In Pt Cl O
1 1 2 1
Cartesian
0.000 0.000 0.000 In
2.399 2.399 0.000 Pt
0.000 2.399 2.087 Cl
2.399 0.000 2.087 Cl
0.000 0.000 2.087 O